# 1
The following is a SCAN calculation of a PBEsol-optimized structure of S2O5F2, from Alexandria via LeMat-Bulk.

The space group is P-42_1c (No. 114) and the conventional cell measures 7.640, 7.640 and 9.627 Å, with angles of 90.00, 90.00 and 90.00 degrees. The asymmetric unit holds S at (0.078, 0.329, 0.366), O at (0.000, 0.500, 0.284), O at (0.022, 0.704, 0.487), O at (0.112, 0.208, 0.259) and F at (0.090, 0.244, 0.913).

The calculation puts the density of states at the Fermi level at 0.00 states/eV/f.u. Its energy relative to the elements, uncorrected is -13.3 eV/f.u. The mass density is 2153 kg/m³. The total moment comes out at 0.00 μB/f.u.

---

# 2
The following is a SCAN calculation of a PBEsol-optimized structure of ScSOF2, from Alexandria via LeMat-Bulk.

The space group is P4/mmm (No. 123) and the conventional cell measures 4.606, 4.606 and 3.402 Å, with angles of 90.00, 90.00 and 90.00 degrees. The asymmetric unit holds Sc at (0.000, 0.000, 0.000), S at (0.500, 0.500, 0.500), O at (0.500, 0.500, 0.000) and F at (0.000, 0.500, 0.500).

The calculation puts the density of states at the Fermi level at 4.00 states/eV/f.u. Its energy relative to the elements, uncorrected is -4.6 eV/f.u. The mass density is 3013 kg/m³. The total moment comes out at 0.30 μB/f.u.

---

> Number 1 is which compound?

S2O5F2

---

> energy relative to the elements, uncorrected of number 2 (ScSOF2)?

-4.6 eV/f.u.

---

What did the first record say?
The following is a SCAN calculation of a PBEsol-optimized structure of S2O5F2, from Alexandria via LeMat-Bulk.

The space group is P-42_1c (No. 114) and the conventional cell measures 7.640, 7.640 and 9.627 Å, with angles of 90.00, 90.00 and 90.00 degrees. The asymmetric unit holds S at (0.078, 0.329, 0.366), O at (0.000, 0.500, 0.284), O at (0.022, 0.704, 0.487), O at (0.112, 0.208, 0.259) and F at (0.090, 0.244, 0.913).

The calculation puts the density of states at the Fermi level at 0.00 states/eV/f.u. Its energy relative to the elements, uncorrected is -13.3 eV/f.u. The mass density is 2153 kg/m³. The total moment comes out at 0.00 μB/f.u.

---

> Look up the total moment of the second one.

0.30 μB/f.u.